This record from the Alexandria database describes a geometry-optimized KFeCl2 structure. The functional is PBE.

Cell lengths 5.2434, 5.2543, 7.3680 Å; angles 90.00, 90.00, 90.00 degrees
Last column: nearest neighbours and their distance in Å.
Space group Cmm2 (No. 35)
Symmetry-distinct sites (fractional):
K1 0.0000 0.0000 0.0000 x2  5 Cl 2.98-3.07
Fe1 0.0000 0.5000 0.5126 x2  1 Cl 2.37
Cl1 0.0000 0.0000 0.5835 x2  4 Fe 2.67-2.68
Cl2 0.0000 0.5000 0.1915 x2  1 Fe 2.37

Computed properties:
Uncorrected formation energy: -0.6386 eV/atom